ZnTcOs2 PBE relaxed; energy relative to the elements = 0.877 eV per atom; M_tot = 0.00 μB/f.u.; space group = I-42d; theoretical density = 13432 kg/m³; N(E_F) = 3.696 states/eV/f.u.
1.0
-3.639 3.639 2.538
3.639 -3.639 2.538
3.639 3.639 -2.538
Zn Tc Os
2 2 4
direct
0.000 0.000 0.000
0.750 0.250 0.500
0.250 0.750 0.500
0.500 0.500 0.000
0.172 0.625 0.047
0.375 0.422 0.547
0.578 0.125 0.953
0.875 0.828 0.453